Material: ZrIn4
Method: DFT, PBE-GGA
State: relaxed

The structure in extended XYZ format:
```
5
Lattice="-3.388 3.388 3.388 3.388 -3.388 3.388 3.388 3.388 -3.388" Properties=species:S:1:pos:R:3 pbc="T T T"
Zr 0.000 0.000 0.000
In 1.694 1.694 -1.694
In 1.694 -1.694 1.694
In -1.694 1.694 1.694
In 1.694 1.694 1.694
```

Values from the calculation:
Formation energy from the elements: 0.090 eV per atom
Space group: No. 229
ρ: 5.9 g cm⁻³